# 1
ZnCuAu2: relaxed, PBE.

Energy = -3.117 eV per atom
Crystal system = orthorhombic
Calculated volume = 15.668 Å³/atom
Total moment = 0.0 μB/f.u.
E_form = -0.14 eV per atom

Cell lengths 6.1321, 6.9587, 2.9375 Å; angles 90.00, 90.00, 90.00 degrees
Closest atoms and distances in Å follow each position.
Space group Cmmm (No. 65)
Inequivalent atoms, fractional coordinates:
Zn 0.0000 0.0000 0.0000 [2 per cell]  8 Au 2.74, 2 Zn 2.94, 2 Cu 3.07
Cu 0.0000 0.5000 0.0000 [2 per cell]  8 Au 2.74, 2 Cu 2.94, 2 Zn 3.07
Au 0.2500 0.2500 0.5000 [4 per cell]  4 Cu 2.74, 4 Zn 2.74, 4 Au 2.94-3.07


# 2
Tm12ZnCd6: relaxed, PBE.

Energy = -3.278 eV per atom
Crystal system = trigonal
Calculated volume = 26.567 Å³/atom
Total moment = 0.0 μB/f.u.
E_form = -0.10 eV per atom

Cell lengths 11.1234, 11.1234, 14.1323 Å; angles 90.00, 90.00, 120.00 degrees
Closest atoms and distances in Å follow each position.
Space group R-3 (No. 148, hexagonal axes)
Inequivalent atoms, fractional coordinates:
Tm 0.0236 0.1848 0.3256 [18 per cell]  1 Zn 3.14, 4 Cd 3.14-3.47, 4 Tm 3.25-3.37
Tm 0.0573 0.8497 0.9067 [18 per cell]  4 Cd 3.17-3.49, 5 Tm 3.35-3.54
Zn 0.0000 0.0000 0.5000 [3 per cell]  6 Cd 3.11, 6 Tm 3.14
Cd 0.0291 0.4331 0.2047 [18 per cell]  1 Zn 3.11, 7 Tm 3.14-3.47, 2 Cd 3.25


# 3
La2Te3: relaxed, PBE.

Formation energy (no corrections) = -1.6109 eV per atom
Energy = -5.467 eV per atom
Crystal system = tetragonal
Calculated volume = 33.984 Å³/atom
Total moment = 0.0 μB/f.u.

Cell lengths 9.6684, 9.6684, 29.0841 Å; angles 90.00, 90.00, 90.00 degrees
Closest atoms and distances in Å follow each position.
Space group I-42d (No. 122)
Inequivalent atoms, fractional coordinates:
La 0.0000 0.0000 0.1673 [8 per cell]  8 Te 3.25-3.43
La 0.1196 0.2500 0.6250 [8 per cell]  8 Te 3.26-3.48
La 0.1312 0.2441 0.2902 [16 per cell]  8 Te 3.23-3.51
Te 0.0749 0.1725 0.0676 [16 per cell]  6 La 3.28-3.51, 3 Te 3.64-3.66
Te 0.0753 0.1776 0.3975 [16 per cell]  5 La 3.23-3.43
Te 0.0801 0.1737 0.7344 [16 per cell]  5 La 3.24-3.42


# 4
Y2HfO5: relaxed, PBE.

Formation energy (no corrections) = -3.5531 eV per atom
Energy = -9.512 eV per atom
Crystal system = orthorhombic
Calculated volume = 15.818 Å³/atom
Relative energy among the computed polymorphs = 0.0 kJ per mole of atoms
Total moment = 0.0 μB/f.u.

Cell lengths 4.1195, 11.2652, 10.9076 Å; angles 90.00, 90.00, 90.00 degrees
Closest atoms and distances in Å follow each position.
Space group Cmcm (No. 63)
Inequivalent atoms, fractional coordinates:
Y 0.0000 0.1394 0.0661 [8 per cell]  5 O 2.20-2.40
Hf 0.0000 0.1769 0.7500 [4 per cell]  6 O 2.03-2.18
O 0.0000 0.0488 0.6196 [8 per cell]  1 Hf 2.03, 2 Y 2.20-2.27
O 0.0000 0.2666 0.2500 [4 per cell]  2 Hf 2.16
O 0.0000 0.2908 0.5885 [8 per cell]  1 Hf 2.18, 3 Y 2.22-2.40